This record from Alexandria describes a relaxed Nd3SmH crystal. The functional is PBE.

a = 5.1689 Å, b = 5.1689 Å, c = 5.1689 Å
α = 90.00°, β = 90.00°, γ = 90.00°
Last column: nearest neighbours and their distance in Å.
Fractional coordinates of all 5 atoms:
H1 0.0000 0.0000 0.0000  6 Nd 2.58
Nd1 0.0000 0.5000 0.0000  2 H 2.58
Nd2 0.0000 0.0000 0.5000  2 H 2.58
Nd3 0.5000 0.0000 0.0000  2 H 2.58
Sm1 0.5000 0.5000 0.5000  12 Nd 3.65

Its density of states at the Fermi level is 4.705 states/eV/cell. Its total DFT energy (no corrections) is -4.647 eV/atom.